No. 1
{
  "formula": "Ba2LiCuF6",
  "functional": "GGA-PBE",
  "state": "optimized geometry",
  "total_energy_ev_per_atom": -5.11,
  "vol_a3_per_atom": 14.30,
  "density_g_cm3": 5.333,
  "lattice": [[-0.834, -2.873, -5.007], [-4.343, -3.028, 2.461], [-5.482, 5.869, -2.454]],
  "species": ["Ba", "Ba", "Ba", "Ba", "Li", "Li", "Cu", "Cu", "F", "F", "F", "F", "F", "F", "F", "F", "F", "F", "F", "F"],
  "frac_coords": [[0.500, 0.750, 0.250], [0.000, 0.250, 0.750], [0.500, 0.750, 0.750], [0.000, 0.250, 0.250], [0.500, 0.250, 0.500], [0.000, 0.750, 0.000], [0.000, 0.750, 0.500], [0.500, 0.250, 0.000], [0.500, 0.250, 0.266], [0.500, 0.250, 0.734], [0.000, 0.750, 0.234], [0.000, 0.750, 0.766], [0.259, 0.010, 0.500], [0.741, 0.010, 0.500], [0.259, 0.491, 0.500], [0.741, 0.491, 0.500], [0.759, 0.509, 0.000], [0.241, 0.509, 0.000], [0.241, 0.990, 0.000], [0.759, 0.990, 0.000]]
}

No. 2
{
  "formula": "Pm6NiBi2",
  "functional": "GGA-PBE",
  "state": "optimized geometry",
  "total_energy_ev_per_atom": -5.17,
  "formation_enthalpy_0k_ev_per_atom": -0.49,
  "vol_a3_per_atom": 29.86,
  "density_g_cm3": 8.320,
  "lattice": [[-1.813, 3.360, 1.520], [-5.138, 0.394, -6.997], [-2.512, -4.516, 6.987]],
  "species": ["Pm", "Pm", "Pm", "Pm", "Pm", "Pm", "Ni", "Bi", "Bi"],
  "frac_coords": [[0.500, 0.594, 0.000], [0.500, 0.406, 0.406], [0.500, 0.000, 0.594], [0.000, 0.236, 0.000], [0.000, 0.765, 0.765], [0.000, 0.000, 0.235], [0.500, 0.000, 0.000], [0.000, 0.333, 0.667], [0.000, 0.667, 0.333]]
}

No. 3
{
  "formula": "CsLa",
  "functional": "GGA-PBE",
  "state": "optimized geometry",
  "total_energy_ev_per_atom": -2.34,
  "formation_enthalpy_0k_ev_per_atom": 0.55,
  "vol_a3_per_atom": 49.73,
  "density_g_cm3": 4.538,
  "lattice": [[-2.780, 1.927, -1.817], [-5.095, -2.345, 5.307], [2.064, 1.755, 2.757]],
  "species": ["Cs", "La"],
  "frac_coords": [[0.966, 0.000, 0.890], [0.912, 0.500, 0.884]]
}

No. 4
{
  "formula": "Ta5NbTe12",
  "functional": "GGA-PBE",
  "state": "optimized geometry",
  "total_energy_ev_per_atom": -6.29,
  "vol_a3_per_atom": 29.18,
  "density_g_cm3": 7.995,
  "lattice": [[6.385, 0.000, 0.010], [3.193, 5.537, 0.005], [0.019, 0.000, 14.856]],
  "species": ["Ta", "Ta", "Ta", "Ta", "Ta", "Nb", "Te", "Te", "Te", "Te", "Te", "Te", "Te", "Te", "Te", "Te", "Te", "Te"],
  "frac_coords": [[0.500, 0.000, 0.500], [0.167, 0.667, 0.500], [0.833, 0.333, 0.500], [0.667, 0.667, 0.000], [0.333, 0.333, 0.000], [0.000, 0.000, 0.000], [0.834, 0.000, 0.377], [0.166, 0.000, 0.623], [0.666, 0.000, 0.876], [0.334, 0.000, 0.124], [0.335, 0.665, 0.876], [0.999, 0.665, 0.124], [0.001, 0.335, 0.876], [0.665, 0.335, 0.124], [0.499, 0.333, 0.623], [0.832, 0.667, 0.623], [0.168, 0.333, 0.377], [0.501, 0.667, 0.377]]
}

No. 5
{
  "formula": "BaZn2Ni",
  "functional": "GGA-PBE",
  "state": "optimized geometry",
  "total_energy_ev_per_atom": -2.74,
  "formation_enthalpy_0k_ev_per_atom": -0.18,
  "vol_a3_per_atom": 23.22,
  "density_g_cm3": 5.844,
  "lattice": [[-3.810, -1.876, -0.731], [-1.046, -3.640, 2.055], [-3.949, 1.270, 4.722]],
  "species": ["Ni", "Zn", "Zn", "Ba"],
  "frac_coords": [[0.250, 0.250, 0.250], [0.941, 0.941, 0.176], [0.559, 0.559, 0.324], [0.750, 0.750, 0.750]]
}

No. 6
{
  "formula": "La5Ga2Se2",
  "functional": "GGA-PBE",
  "state": "optimized geometry",
  "total_energy_ev_per_atom": -5.30,
  "vol_a3_per_atom": 28.56,
  "density_g_cm3": 6.409,
  "lattice": [[7.597, 0.000, 2.758], [0.000, 8.137, 0.000], [1.132, 0.000, 8.726]],
  "species": ["La", "La", "La", "La", "La", "La", "La", "La", "La", "La", "Ga", "Ga", "Ga", "Ga", "Se", "Se", "Se", "Se"],
  "frac_coords": [[0.000, 0.000, 0.000], [0.500, 0.500, 0.000], [0.471, 0.164, 0.714], [0.815, 0.836, 0.714], [0.315, 0.664, 0.714], [0.971, 0.336, 0.714], [0.529, 0.836, 0.286], [0.185, 0.164, 0.286], [0.685, 0.336, 0.286], [0.029, 0.664, 0.286], [0.119, 0.385, 0.000], [0.881, 0.615, 0.000], [0.381, 0.885, 0.000], [0.619, 0.115, 0.000], [0.196, 0.000, 0.609], [0.696, 0.500, 0.609], [0.804, 0.000, 0.391], [0.304, 0.500, 0.391]]
}

No. 7
{
  "formula": "Pd3PbF",
  "functional": "GGA-PBE",
  "state": "optimized geometry",
  "e_above_lowest_polymorph_mev_per_atom": 685,
  "total_energy_ev_per_atom": -3.59,
  "vol_a3_per_atom": 27.08,
  "density_g_cm3": 6.690,
  "lattice": [[-1.265, 3.140, 3.861], [-4.930, -1.337, -0.528], [0.682, -3.836, 3.344]],
  "species": ["Pb", "Pd", "Pd", "Pd", "F"],
  "frac_coords": [[0.000, 0.000, 0.000], [0.000, 0.500, 0.000], [0.000, 0.000, 0.500], [0.500, 0.000, 0.000], [0.500, 0.500, 0.500]]
}

No. 8
{
  "formula": "SrTiHO2",
  "functional": "GGA-PBE",
  "state": "optimized geometry",
  "total_energy_ev_per_atom": -6.81,
  "vol_a3_per_atom": 12.05,
  "density_g_cm3": 4.645,
  "lattice": [[4.003, 0.000, 0.000], [0.000, 4.003, 0.000], [0.000, 0.000, 3.759]],
  "species": ["Sr", "H", "O", "O", "Ti"],
  "frac_coords": [[0.500, 0.500, 0.500], [0.000, 0.000, 0.500], [0.000, 0.500, 0.000], [0.500, 0.000, 0.000], [0.000, 0.000, 0.000]]
}

No. 9
{
  "formula": "PaInO4",
  "functional": "GGA-PBE",
  "state": "optimized geometry",
  "total_energy_ev_per_atom": -8.02,
  "vol_a3_per_atom": 12.73,
  "density_g_cm3": 8.908,
  "lattice": [[3.798, 0.000, 0.000], [0.000, 3.798, 0.000], [0.000, 0.000, 5.297]],
  "species": ["Pa", "In", "O", "O", "O", "O"],
  "frac_coords": [[0.500, 0.500, 0.500], [0.000, 0.000, 0.000], [0.500, 0.000, 0.745], [0.000, 0.500, 0.255], [0.500, 0.000, 0.255], [0.000, 0.500, 0.745]]
}

No. 10
{
  "formula": "Tc2HgSb",
  "functional": "GGA-PBE",
  "state": "optimized geometry",
  "e_above_lowest_polymorph_mev_per_atom": 541,
  "total_energy_ev_per_atom": -5.57,
  "vol_a3_per_atom": 18.33,
  "density_g_cm3": 11.741,
  "lattice": [[3.140, 0.000, 0.000], [0.000, 5.122, 0.000], [0.000, 0.000, 4.557]],
  "species": ["Hg", "Sb", "Tc", "Tc"],
  "frac_coords": [[0.500, 0.000, 0.500], [0.000, 0.500, 0.500], [0.000, 0.000, 0.000], [0.500, 0.500, 0.000]]
}

No. 11
{
  "formula": "Ac2DyIn",
  "functional": "GGA-PBE",
  "state": "optimized geometry",
  "e_above_lowest_polymorph_mev_per_atom": 24,
  "total_energy_ev_per_atom": -4.03,
  "formation_enthalpy_0k_ev_per_atom": -0.14,
  "vol_a3_per_atom": 36.95,
  "density_g_cm3": 8.216,
  "lattice": [[3.944, 0.000, 0.000], [0.000, 3.944, 0.000], [0.000, 0.000, 9.503]],
  "species": ["Ac", "Ac", "In", "Dy"],
  "frac_coords": [[0.000, 0.000, 0.769], [0.000, 0.000, 0.231], [0.500, 0.500, 0.000], [0.500, 0.500, 0.500]]
}

No. 12
{
  "formula": "Cd2InHg",
  "functional": "GGA-PBE",
  "state": "optimized geometry",
  "e_above_lowest_polymorph_mev_per_atom": 28,
  "total_energy_ev_per_atom": -1.17,
  "formation_enthalpy_0k_ev_per_atom": 0.05,
  "vol_a3_per_atom": 25.21,
  "density_g_cm3": 8.897,
  "lattice": [[3.283, -0.018, 0.000], [-1.378, 2.980, 0.000], [0.000, 0.000, 10.334]],
  "species": ["Cd", "Cd", "Hg", "In"],
  "frac_coords": [[0.000, 0.000, 0.008], [0.500, 0.500, 0.248], [0.000, 0.000, 0.493], [0.500, 0.500, 0.751]]
}

Repeat the first record exactly.
{
  "formula": "Ba2LiCuF6",
  "functional": "GGA-PBE",
  "state": "optimized geometry",
  "total_energy_ev_per_atom": -5.11,
  "vol_a3_per_atom": 14.30,
  "density_g_cm3": 5.333,
  "lattice": [[-0.834, -2.873, -5.007], [-4.343, -3.028, 2.461], [-5.482, 5.869, -2.454]],
  "species": ["Ba", "Ba", "Ba", "Ba", "Li", "Li", "Cu", "Cu", "F", "F", "F", "F", "F", "F", "F", "F", "F", "F", "F", "F"],
  "frac_coords": [[0.500, 0.750, 0.250], [0.000, 0.250, 0.750], [0.500, 0.750, 0.750], [0.000, 0.250, 0.250], [0.500, 0.250, 0.500], [0.000, 0.750, 0.000], [0.000, 0.750, 0.500], [0.500, 0.250, 0.000], [0.500, 0.250, 0.266], [0.500, 0.250, 0.734], [0.000, 0.750, 0.234], [0.000, 0.750, 0.766], [0.259, 0.010, 0.500], [0.741, 0.010, 0.500], [0.259, 0.491, 0.500], [0.741, 0.491, 0.500], [0.759, 0.509, 0.000], [0.241, 0.509, 0.000], [0.241, 0.990, 0.000], [0.759, 0.990, 0.000]]
}